Below is a relaxed structure of La8Au3Br4Cl, with properties calculated at the PBE level.

Cell lengths 8.7467, 8.7467, 21.7171 Å; angles 90.00, 90.00, 120.00 degrees
With the nearest neighbours (Å) after each atom.
Space group R-3m (No. 166, hexagonal axes)
Unique sites:
La: 0.0000 0.0000 0.2423 x6  3 Au 3.01, 3 Br 3.21
La: 0.0040 0.5020 0.2455 x18  1 Cl 3.03, 2 Au 3.06, 3 Br 3.15-3.19
Au: 0.0000 0.5000 0.5000 x9  6 La 3.01-3.06
Br: 0.0000 0.0000 0.0000 x3  6 La 3.19
Br: 0.0000 0.5000 0.0000 x9  6 La 3.15-3.21
Cl: 0.0000 0.0000 0.5000 x3  6 La 3.03

Values from the calculation:
The magnetic moment is 0.00 μB per formula unit. The calculation puts the density of states at the Fermi level at 0.7394 states/eV per atom. For the final energy, the calculation gives -4.77 eV/atom.



Below is a relaxed structure of CsZr2Sc2O7, with properties calculated at the PBE level.

Cell lengths 4.2817, 4.3426, 18.1616 Å; angles 90.00, 90.00, 90.00 degrees
With the nearest neighbours (Å) after each atom.
Space group Immm (No. 71)
Unique sites:
Cs: 0.0000 0.0000 0.0000 x2  12 O 3.05-3.26
Zr: 0.0000 0.0000 0.3863 x4  6 O 2.07-2.25
Sc: 0.0000 0.5000 0.2528 x4  6 O 2.13-2.18
O: 0.0000 0.0000 0.2624 x4  4 Sc 2.16-2.18, 1 Zr 2.25
O: 0.0000 0.0000 0.5000 x2  2 Zr 2.07
O: 0.0000 0.5000 0.1335 x4  1 Sc 2.17, 2 Zr 2.17
O: 0.0000 0.5000 0.3702 x4  1 Sc 2.13, 2 Zr 2.19

Values from the calculation:
The magnetic moment is 0.00 μB per formula unit. The calculation puts the density of states at the Fermi level at 0.2186 states/eV per atom. For the final energy, the calculation gives -8.50 eV/atom.



Below is a relaxed structure of InAg2IN, with properties calculated at the PBE level.

Cell lengths 5.4894, 5.4894, 7.0674 Å; angles 90.00, 90.00, 90.00 degrees
With the nearest neighbours (Å) after each atom.
Space group P4/mmm (No. 123)
Unique sites:
In: 0.0000 0.0000 0.0000 x1  2 I 3.53, 4 N 3.88
Ag: 0.0000 0.5000 0.5000 x2  2 I 2.74
I: 0.0000 0.0000 0.5000 x1  4 Ag 2.74
N: 0.5000 0.5000 0.0000 x1  4 In 3.88

Values from the calculation:
The magnetic moment is 2.07 μB per formula unit. The calculation puts the density of states at the Fermi level at 0.6488 states/eV per atom. For the final energy, the calculation gives -2.16 eV/atom.



Below is a relaxed structure of Li6InCu, with properties calculated at the PBE level.

Cell lengths 4.5762, 6.3061, 9.3555 Å; angles 90.00, 90.00, 90.00 degrees
With the nearest neighbours (Å) after each atom.
Space group Amm2 (No. 38)
Unique sites:
Li: 0.0000 0.0000 0.0000 x2  10 Li 2.78-3.05
Li: 0.0000 0.2167 0.2670 x4  7 Li 2.73-2.99, 2 Cu 2.74, 2 In 2.79-2.87
Li: 0.5000 0.0000 0.7847 x2  8 Li 2.68-2.98
Li: 0.5000 0.2330 0.0621 x4  7 Li 2.68-2.99, 2 Cu 2.70-2.96, 2 In 2.86
In: 0.0000 0.0000 0.5273 x2  8 Li 2.79-2.87, 2 Cu 2.90
Cu: 0.5000 0.0000 0.3371 x2  8 Li 2.70-2.96, 2 In 2.90

Values from the calculation:
The magnetic moment is 0.00 μB per formula unit. The calculation puts the density of states at the Fermi level at 0.2129 states/eV per atom. For the final energy, the calculation gives -2.39 eV/atom. The calculation puts the formation energy at -0.104 eV/atom.



Below is a relaxed structure of CsZn2AgBr6, with properties calculated at the PBE level.

Cell lengths 14.1353, 16.5171, 6.6969 Å; angles 90.00, 96.76, 90.00 degrees
With the nearest neighbours (Å) after each atom.
Space group C2/c (No. 15)
Unique sites:
Cs: 0.0000 0.1191 0.2500 x4  8 Br 3.78-3.94
Zn: 0.2010 0.4275 0.1999 x8  4 Br 2.37-2.52
Ag: 0.0000 0.3550 0.7500 x4  2 Br 2.60
Br: 0.1201 0.3082 0.0524 x8  1 Zn 2.43, 1 Ag 2.60
Br: 0.1307 0.0832 0.7688 x8  1 Zn 2.37
Br: 0.1405 0.4443 0.5367 x8  2 Zn 2.49-2.52

Values from the calculation:
The magnetic moment is 0.00 μB per formula unit. The calculation puts the density of states at the Fermi level at 0.0000 states/eV per atom. For the final energy, the calculation gives -2.59 eV/atom.



Below is a relaxed structure of Pr4Cu2Pd5, with properties calculated at the PBE level.

Cell lengths 7.2821, 3.9659, 8.4256 Å; angles 90.00, 90.54, 90.00 degrees
With the nearest neighbours (Å) after each atom.
Space group P2/m (No. 10)
Unique sites:
Pr: 0.2341 0.0000 0.3749 x2  6 Pd 2.96-3.07, 2 Cu 3.09
Pr: 0.2614 0.0000 0.8785 x2  6 Pd 2.98-3.34, 4 Cu 3.16-3.19
Cu: 0.0816 0.5000 0.1249 x2  1 Cu 2.41, 2 Pd 2.60
Pd: 0.1321 0.5000 0.6302 x2  1 Cu 2.60, 2 Pd 2.90
Pd: 0.4363 0.5000 0.1604 x2  1 Cu 2.60, 2 Pd 2.87-2.89
Pd: 0.5000 0.5000 0.5000 x1  4 Pd 2.89-2.90, 4 Pr 2.96

Values from the calculation:
The magnetic moment is 0.00 μB per formula unit. The calculation puts the density of states at the Fermi level at 0.4242 states/eV per atom. For the final energy, the calculation gives -5.48 eV/atom. The calculation puts the formation energy at -0.637 eV/atom.



Below is a relaxed structure of PaGeB2O8, with properties calculated at the PBE level.

Cell lengths 7.3708, 4.9848, 6.7541 Å; angles 90.00, 91.39, 90.00 degrees
With the nearest neighbours (Å) after each atom.
Space group C2/m (No. 12)
Unique sites:
Pa: 0.0000 0.0000 0.0000 x2  6 O 2.14-2.29
Ge: 0.0000 0.0000 0.5000 x2  6 O 1.86-1.93
B: 0.1358 0.5000 0.2808 x4  4 O 1.45-1.49
O: 0.0249 0.2510 0.2838 x8  1 B 1.49
O: 0.2218 0.5000 0.0837 x4  1 B 1.49
O: 0.2495 0.5000 0.4598 x4  1 B 1.45

Values from the calculation:
The magnetic moment is 1.01 μB per formula unit. The calculation puts the density of states at the Fermi level at 0.1984 states/eV per atom. For the final energy, the calculation gives -7.86 eV/atom.



Below is a relaxed structure of W5Se4, with properties calculated at the PBE level.

Cell lengths 7.8850, 7.8850, 5.5603 Å; angles 90.00, 90.00, 120.00 degrees
With the nearest neighbours (Å) after each atom.
Space group P6_3/mcm (No. 193)
Unique sites:
W: 0.0000 0.3255 0.2500 x6  3 Se 2.46-2.72
W: 0.3333 0.6667 0.0000 x4  8 W 2.78-3.00, 6 Se 2.88
Se: 0.0000 0.0000 0.0000 x2  2 Se 2.78, 6 W 2.92
Se: 0.0000 0.3622 0.7500 x6  3 W 2.46-2.72

Values from the calculation:
The magnetic moment is 0.00 μB per formula unit. The calculation puts the density of states at the Fermi level at 1.0079 states/eV per atom. For the final energy, the calculation gives -7.95 eV/atom.



Below is a relaxed structure of LaPm2Sm6Mg, with properties calculated at the PBE level.

Cell lengths 9.4139, 15.4791, 9.1886 Å; angles 90.00, 91.16, 90.00 degrees
With the nearest neighbours (Å) after each atom.
Space group C2/c (No. 15)
Unique sites:
La: 0.0000 0.0259 0.2500 x4  4 Pm 3.42-3.82, 6 Sm 3.53-3.73
Pm: 0.2268 0.4406 0.4422 x8  5 Sm 3.25-3.46, 1 La 3.42, 2 Mg 3.46-3.59
Sm: 0.0344 0.1812 0.9424 x8  1 Pm 3.46, 7 Sm 3.49-3.68, 2 La 3.67-3.73
Sm: 0.1132 0.3841 0.0954 x8  3 Pm 3.25-3.45, 4 Sm 3.35-3.59, 2 Mg 3.38-3.48
Sm: 0.2177 0.2106 0.2880 x8  5 Sm 3.35-3.68, 1 Mg 3.39, 1 Pm 3.44, 1 La 3.53
Mg: 0.0000 0.4229 0.7500 x4  6 Sm 3.38-3.48, 4 Pm 3.46-3.59

Values from the calculation:
The magnetic moment is 0.00 μB per formula unit. The calculation puts the density of states at the Fermi level at 1.4043 states/eV per atom. For the final energy, the calculation gives -4.32 eV/atom. The calculation puts the formation energy at 0.110 eV/atom.